DFT (PBEsol) results for a geometry-optimized Ba2TlGe2 structure.

It has space group I4/mmm (No. 139), with a = 3.834 Å, b = 3.834 Å, c = 21.012 Å, α = 90.00°, β = 90.00° and γ = 90.00°. The asymmetric unit holds Ba at (0.000, 0.000, 0.113), Tl at (0.000, 0.000, 0.500) and Ge at (0.000, 0.500, 0.250).

The energy relative to the elements is -0.272 eV/atom. Its magnetic moment is 0.000 Bohr magnetons per cell.